Entry from Alexandria via LeMat-Bulk: a geometry-optimized RbPb3Br structure (GGA-PBE).

abc: 5.954 5.954 5.954
angles: 90.00 90.00 90.00
Positions (direct):
Rb 0.000 0.000 0.000
Pb 0.000 0.500 0.500
Pb 0.500 0.000 0.500
Pb 0.500 0.500 0.000
Br 0.500 0.500 0.500

Energy above the most stable polymorph in this dataset (eV per atom): 0.000
N(E_F) (states/eV/cell): 3.80
E_form (uncorrected) (eV/atom): 0.1850
E_tot (Ry/atom): -0.189
Magnetization (μB per atom): 0.000

=====

Entry from Alexandria via LeMat-Bulk: a geometry-optimized RbPbBr2 structure (GGA-PBE).

abc: 6.604 6.604 18.111
angles: 90.00 90.00 90.00
Positions (direct):
Rb 0.000 0.000 0.000
Rb 0.000 0.500 0.250
Rb 0.500 0.000 0.750
Rb 0.500 0.500 0.500
Pb 0.000 0.000 0.500
Pb 0.000 0.500 0.750
Pb 0.500 0.000 0.250
Pb 0.500 0.500 0.000
Br 0.203 0.250 0.625
Br 0.250 0.703 0.875
Br 0.250 0.797 0.375
Br 0.297 0.250 0.125
Br 0.703 0.750 0.125
Br 0.750 0.203 0.375
Br 0.750 0.297 0.875
Br 0.797 0.750 0.625

Energy above the most stable polymorph in this dataset (eV per atom): 0.071
N(E_F) (states/eV/cell): 6.34
E_form (uncorrected) (eV/atom): -0.8539
E_tot (Ry/atom): -0.210
Magnetization (μB per atom): 0.244

=====

Entry from Alexandria via LeMat-Bulk: a geometry-optimized Rb2PbBr4 structure (GGA-PBE).

abc: 14.813 4.540 9.435
angles: 90.00 118.51 90.00
Positions (direct):
Rb 0.148 0.000 0.180
Rb 0.352 0.500 0.820
Rb 0.648 0.500 0.180
Rb 0.852 0.000 0.820
Pb 0.000 0.500 0.500
Pb 0.500 0.000 0.500
Br 0.053 0.500 0.851
Br 0.158 0.000 0.568
Br 0.342 0.500 0.432
Br 0.447 0.000 0.149
Br 0.553 0.000 0.851
Br 0.658 0.500 0.568
Br 0.842 0.000 0.432
Br 0.947 0.500 0.149

Energy above the most stable polymorph in this dataset (eV per atom): 0.022
N(E_F) (states/eV/cell): 0.00
E_form (uncorrected) (eV/atom): -1.3948
E_tot (Ry/atom): -0.232
Magnetization (μB per atom): 0.000

=====

Entry from Alexandria via LeMat-Bulk: a geometry-optimized RbPb3Br structure (GGA-PBE).

abc: 6.418 6.418 6.418
angles: 90.00 90.00 90.00
Positions (direct):
Rb 0.000 0.000 0.000
Pb 0.000 0.000 0.500
Pb 0.000 0.500 0.000
Pb 0.500 0.000 0.000
Br 0.500 0.500 0.500

Energy above the most stable polymorph in this dataset (eV per atom): 0.799
N(E_F) (states/eV/cell): 10.13
E_form (uncorrected) (eV/atom): 0.9837
E_tot (Ry/atom): -0.130
Magnetization (μB per atom): 0.423

=====

Entry from Alexandria via LeMat-Bulk: a geometry-optimized RbPbBr3 structure (GGA-PBE).

abc: 7.810 7.810 11.335
angles: 90.00 90.00 146.47
Positions (direct):
Rb 0.247 0.753 0.750
Rb 0.753 0.247 0.250
Pb 0.500 0.500 0.000
Pb 0.500 0.500 0.500
Br 0.135 0.865 0.053
Br 0.135 0.865 0.447
Br 0.428 0.572 0.250
Br 0.572 0.428 0.750
Br 0.865 0.135 0.553
Br 0.865 0.135 0.947

N(E_F) (states/eV/cell): 0.00
E_form (uncorrected) (eV/atom): -1.2733
E_tot (Ry/atom): -0.236
Magnetization (μB per atom): 0.000

=====

Entry from Alexandria via LeMat-Bulk: a geometry-optimized Rb2PbBr3 structure (GGA-PBE).

abc: 5.165 6.866 13.557
angles: 90.00 90.00 90.00
Positions (direct):
Rb 0.000 0.000 0.171
Rb 0.000 0.000 0.829
Rb 0.500 0.500 0.329
Rb 0.500 0.500 0.671
Pb 0.000 0.000 0.500
Pb 0.500 0.500 0.000
Br 0.000 0.500 0.146
Br 0.000 0.500 0.500
Br 0.000 0.500 0.854
Br 0.500 0.000 0.000
Br 0.500 0.000 0.354
Br 0.500 0.000 0.646

N(E_F) (states/eV/cell): 3.45
E_form (uncorrected) (eV/atom): -1.1987
E_tot (Ry/atom): -0.219
Magnetization (μB per atom): 0.127

=====

Entry from Alexandria via LeMat-Bulk: a geometry-optimized Rb2PbBr5 structure (GGA-PBE).

abc: 9.254 9.254 14.902
angles: 90.00 90.00 141.91
Positions (direct):
Rb 0.156 0.844 0.580
Rb 0.156 0.844 0.920
Rb 0.844 0.156 0.080
Rb 0.844 0.156 0.420
Pb 0.149 0.851 0.250
Pb 0.851 0.149 0.750
Br 0.040 0.960 0.107
Br 0.040 0.960 0.393
Br 0.269 0.731 0.114
Br 0.269 0.731 0.386
Br 0.325 0.675 0.750
Br 0.675 0.325 0.250
Br 0.731 0.269 0.614
Br 0.731 0.269 0.886
Br 0.960 0.040 0.607
Br 0.960 0.040 0.893

N(E_F) (states/eV/cell): 6.38
E_form (uncorrected) (eV/atom): -1.1579
E_tot (Ry/atom): -0.214
Magnetization (μB per atom): 0.000

=====

Entry from Alexandria via LeMat-Bulk: a geometry-optimized Rb2RePbBr6 structure (GGA-PBE).

abc: 7.894 7.894 7.894
angles: 119.97 119.97 90.05
Positions (direct):
Rb 0.250 0.750 0.500
Rb 0.750 0.250 0.500
Re 0.000 0.000 0.000
Pb 0.500 0.500 0.000
Br 0.231 0.231 0.000
Br 0.231 0.231 0.462
Br 0.231 0.769 0.000
Br 0.769 0.231 0.000
Br 0.769 0.769 0.000
Br 0.769 0.769 0.538

N(E_F) (states/eV/cell): 8.17
E_form (uncorrected) (eV/atom): -0.7374
E_tot (Ry/atom): -0.261
Magnetization (μB per atom): 0.100

=====

Entry from Alexandria via LeMat-Bulk: a geometry-optimized Rb2RuPbBr6 structure (GGA-PBE).

abc: 7.822 7.822 7.822
angles: 60.00 60.00 60.00
Positions (direct):
Rb 0.250 0.250 0.250
Rb 0.750 0.750 0.750
Ru 0.000 0.000 0.000
Pb 0.500 0.500 0.500
Br 0.231 0.231 0.769
Br 0.231 0.769 0.231
Br 0.231 0.769 0.769
Br 0.769 0.231 0.231
Br 0.769 0.231 0.769
Br 0.769 0.769 0.231

N(E_F) (states/eV/cell): 0.00
E_form (uncorrected) (eV/atom): -0.9209
E_tot (Ry/atom): -0.251
Magnetization (μB per atom): 0.000

=====

Entry from Alexandria via LeMat-Bulk: a geometry-optimized Rb2PbSBr6 structure (GGA-PBE).

abc: 8.591 8.591 8.591
angles: 126.80 126.80 78.58
Positions (direct):
Rb 0.250 0.750 0.500
Rb 0.750 0.250 0.500
Pb 0.000 0.000 0.000
S 0.500 0.500 0.000
Br 0.222 0.222 0.000
Br 0.271 0.271 0.542
Br 0.271 0.729 0.000
Br 0.729 0.271 0.000
Br 0.729 0.729 0.458
Br 0.778 0.778 0.000

N(E_F) (states/eV/cell): 0.00
E_form (uncorrected) (eV/atom): -0.8622
E_tot (Ry/atom): -0.209
Magnetization (μB per atom): 0.000

=====

Entry from Alexandria via LeMat-Bulk: a geometry-optimized RbPbSBr structure (GGA-PBE).

abc: 4.328 4.328 25.087
angles: 90.00 90.00 120.00
Positions (direct):
Rb 0.000 0.000 0.000
Rb 0.333 0.667 0.667
Rb 0.667 0.333 0.333
Pb 0.000 0.000 0.185
Pb 0.333 0.667 0.852
Pb 0.667 0.333 0.518
S 0.000 0.000 0.576
S 0.333 0.667 0.243
S 0.667 0.333 0.909
Br 0.000 0.000 0.424
Br 0.333 0.667 0.091
Br 0.667 0.333 0.758

N(E_F) (states/eV/cell): 0.00
E_form (uncorrected) (eV/atom): -1.0210
E_tot (Ry/atom): -0.268
Magnetization (μB per atom): 0.000

=====

Entry from Alexandria via LeMat-Bulk: a geometry-optimized RbPbSBr2 structure (GGA-PBE).

abc: 5.979 5.979 5.116
angles: 90.00 90.00 90.00
Positions (direct):
Rb 0.000 0.000 0.000
Pb 0.500 0.500 0.500
S 0.500 0.500 0.000
Br 0.000 0.500 0.500
Br 0.500 0.000 0.500

N(E_F) (states/eV/cell): 1.86
E_form (uncorrected) (eV/atom): -0.8355
E_tot (Ry/atom): -0.240
Magnetization (μB per atom): 0.000

=====

Entry from Alexandria via LeMat-Bulk: a geometry-optimized Rb2SbPbBr6 structure (GGA-PBE).

abc: 8.346 8.346 8.356
angles: 119.88 119.88 89.90
Positions (direct):
Rb 0.250 0.750 0.000
Rb 0.750 0.250 0.000
Sb 0.448 0.448 0.397
Pb 0.949 0.949 0.400
Br 0.194 0.684 0.380
Br 0.195 0.195 0.381
Br 0.204 0.204 0.907
Br 0.684 0.194 0.380
Br 0.685 0.685 0.382
Br 0.693 0.693 0.885

N(E_F) (states/eV/cell): 3.25
E_form (uncorrected) (eV/atom): -1.0364
E_tot (Ry/atom): -0.222
Magnetization (μB per atom): 0.000

=====

Entry from Alexandria via LeMat-Bulk: a geometry-optimized Rb2SbPbBr structure (GGA-PBE).

abc: 7.272 7.272 5.565
angles: 90.00 90.00 90.00
Positions (direct):
Rb 0.000 0.500 0.000
Rb 0.500 0.000 0.000
Sb 0.000 0.000 0.500
Pb 0.000 0.000 0.000
Br 0.500 0.500 0.500

N(E_F) (states/eV/cell): 3.00
E_form (uncorrected) (eV/atom): -0.3651
E_tot (Ry/atom): -0.195
Magnetization (μB per atom): 0.000

=====

Entry from Alexandria via LeMat-Bulk: a geometry-optimized RbSbPb2Br8 structure (GGA-PBE).

abc: 6.953 7.273 9.321
angles: 89.98 89.96 89.02
Positions (direct):
Rb 0.000 0.000 0.000
Sb 0.000 0.000 0.500
Pb 0.500 0.500 0.251
Pb 0.500 0.500 0.749
Br 0.237 0.320 0.500
Br 0.243 0.844 0.712
Br 0.244 0.844 0.287
Br 0.269 0.379 0.000
Br 0.731 0.621 0.000
Br 0.756 0.156 0.713
Br 0.757 0.156 0.288
Br 0.763 0.680 0.500

N(E_F) (states/eV/cell): 0.00
E_form (uncorrected) (eV/atom): -0.9277
E_tot (Ry/atom): -0.227
Magnetization (μB per atom): 0.000

=====

Entry from Alexandria via LeMat-Bulk: a geometry-optimized RbSbPb2Br structure (GGA-PBE).

abc: 5.828 5.828 6.024
angles: 90.00 90.00 90.00
Positions (direct):
Rb 0.000 0.000 0.000
Sb 0.500 0.500 0.000
Pb 0.000 0.500 0.500
Pb 0.500 0.000 0.500
Br 0.000 0.000 0.500

N(E_F) (states/eV/cell): 3.61
E_form (uncorrected) (eV/atom): 0.0870
E_tot (Ry/atom): -0.202
Magnetization (μB per atom): 0.000

=====

Entry from Alexandria via LeMat-Bulk: a geometry-optimized Rb2ScPbBr6 structure (GGA-PBE).

abc: 8.154 8.154 8.154
angles: 119.96 119.96 90.06
Positions (direct):
Rb 0.250 0.750 0.500
Rb 0.750 0.250 0.500
Sc 0.000 0.000 0.000
Pb 0.500 0.500 0.000
Br 0.235 0.235 0.000
Br 0.235 0.235 0.469
Br 0.235 0.765 0.000
Br 0.765 0.235 0.000
Br 0.765 0.765 0.000
Br 0.765 0.765 0.531

Energy above the most stable polymorph in this dataset (eV per atom): 0.047
N(E_F) (states/eV/cell): 7.28
E_form (uncorrected) (eV/atom): -1.3877
E_tot (Ry/atom): -0.264
Magnetization (μB per atom): 0.100

=====

Entry from Alexandria via LeMat-Bulk: a geometry-optimized RbScPb2Br8 structure (GGA-PBE).

abc: 6.780 7.143 9.257
angles: 89.97 89.92 88.56
Positions (direct):
Rb 0.000 0.000 0.000
Sc 0.000 0.000 0.500
Pb 0.500 0.500 0.256
Pb 0.500 0.500 0.744
Br 0.227 0.311 0.500
Br 0.234 0.850 0.703
Br 0.235 0.851 0.297
Br 0.267 0.382 0.000
Br 0.733 0.618 0.000
Br 0.765 0.149 0.703
Br 0.766 0.150 0.297
Br 0.773 0.689 0.500

N(E_F) (states/eV/cell): 0.00
E_form (uncorrected) (eV/atom): -1.2827
E_tot (Ry/atom): -0.266
Magnetization (μB per atom): 0.000

=====

Entry from Alexandria via LeMat-Bulk: a geometry-optimized Rb2ScPbBr6 structure (GGA-PBE).

abc: 7.449 7.721 7.874
angles: 116.37 105.90 92.39
Positions (direct):
Rb 0.221 0.214 0.437
Rb 0.779 0.786 0.563
Sc 0.000 0.500 0.000
Pb 0.500 0.000 0.000
Br 0.168 0.185 0.866
Br 0.172 0.651 0.822
Br 0.284 0.686 0.341
Br 0.716 0.314 0.659
Br 0.828 0.349 0.178
Br 0.832 0.815 0.134

Energy above the most stable polymorph in this dataset (eV per atom): 0.000
E_form (uncorrected) (eV/atom): -1.4345
E_tot (Ry/atom): -0.267
Magnetization (μB per atom): 0.100

=====

Entry from Alexandria via LeMat-Bulk: a geometry-optimized Rb2SiPbBr structure (GGA-PBE).

abc: 6.302 6.302 5.977
angles: 90.00 90.00 90.00
Positions (direct):
Rb 0.000 0.500 0.000
Rb 0.500 0.000 0.000
Si 0.000 0.000 0.500
Pb 0.500 0.500 0.500
Br 0.500 0.500 0.000

N(E_F) (states/eV/cell): 1.29
E_form (uncorrected) (eV/atom): 0.1266
E_tot (Ry/atom): -0.178
Magnetization (μB per atom): 0.200